Entry 1:
# BaInSi (PBE, optimized geometry)
# - theoretical density (kg/m³) = 5279
# - E_form (uncorrected) (eV per atom) = -0.38
data_BaInSi
_chemical_formula_sum 'Ba4 In4 Si4'
_symmetry_space_group_name_H-M 'C 1 2/m 1'
_symmetry_Int_Tables_number 12
_symmetry_space_group_name_Hall '-C 2y'
_cell_length_a 16.8124
_cell_length_b 5.2582
_cell_length_c 4.1133
_cell_angle_alpha 90.00
_cell_angle_beta 104.15
_cell_angle_gamma 90.00
loop_
_atom_site_label
_atom_site_fract_x
_atom_site_fract_y
_atom_site_fract_z
Ba1 0.1079 0.0000 0.3572
In1 0.2059 0.5000 0.9479
Si1 0.0398 0.5000 0.7894

---

Entry 2:
# AcMg4Cu2 (PBE, optimized geometry)
# - theoretical density (kg/m³) = 4728
# - energy relative to the lowest polymorph listed for this composition (eV/f.u.) = 0.12
data_AcMg4Cu2
_chemical_formula_sum 'Ac2 Mg8 Cu4'
_symmetry_space_group_name_H-M 'C m m m'
_symmetry_Int_Tables_number 65
_symmetry_space_group_name_Hall '-C 2 2'
_cell_length_a 4.3740
_cell_length_b 16.6306
_cell_length_c 4.3580
_cell_angle_alpha 90.00
_cell_angle_beta 90.00
_cell_angle_gamma 90.00
loop_
_atom_site_label
_atom_site_fract_x
_atom_site_fract_y
_atom_site_fract_z
Ac1 0.0000 0.0000 0.0000
Mg1 0.0000 0.1783 0.5000
Mg2 0.0000 0.3209 0.0000
Cu1 0.0000 0.4239 0.5000

---

Entry 3:
# NaLiTlIn2 (PBE, optimized geometry)
# - theoretical density (kg/m³) = 5597
# - energy relative to the lowest polymorph listed for this composition (eV/f.u.) = 0.00
data_NaLiTlIn2
_chemical_formula_sum 'Na1 Li1 Tl1 In2'
_symmetry_space_group_name_H-M 'P 4/m m m'
_symmetry_Int_Tables_number 123
_symmetry_space_group_name_Hall '-P 4 2'
_cell_length_a 5.1143
_cell_length_b 5.1143
_cell_length_c 5.2627
_cell_angle_alpha 90.00
_cell_angle_beta 90.00
_cell_angle_gamma 90.00
loop_
_atom_site_label
_atom_site_fract_x
_atom_site_fract_y
_atom_site_fract_z
Na1 0.0000 0.0000 0.0000
Li1 0.5000 0.5000 0.5000
Tl1 0.5000 0.5000 0.0000
In1 0.0000 0.5000 0.5000

---

Entry 4:
# SrAcPCl (PBE, optimized geometry)
# - theoretical density (kg/m³) = 6049
# - E_form (uncorrected) (eV per atom) = -1.35
# - energy relative to the lowest polymorph listed for this composition (eV/f.u.) = 0.79
data_SrAcPCl
_chemical_formula_sum 'Sr4 Ac4 P4 Cl4'
_symmetry_space_group_name_H-M 'F -4 3 m'
_symmetry_Int_Tables_number 216
_symmetry_space_group_name_Hall 'F -4 2 3'
_cell_length_a 7.4795
_cell_length_b 7.4795
_cell_length_c 7.4795
_cell_angle_alpha 90.00
_cell_angle_beta 90.00
_cell_angle_gamma 90.00
loop_
_atom_site_label
_atom_site_fract_x
_atom_site_fract_y
_atom_site_fract_z
Sr1 0.0000 0.0000 0.0000
Ac1 0.0000 0.0000 0.5000
P1 0.2500 0.2500 0.2500
Cl1 0.2500 0.2500 0.7500

---

Number 1: electronic total energy -44.95 eV for the cell shown. Number 2: electronic total energy -39.00 eV for the cell shown. Number 3: electronic total energy -10.92 eV for the cell shown. Number 4: electronic total energy -73.78 eV for the cell shown.